Entry 1:
Entry from Alexandria via LeMat-Bulk: crystalline PmErTe3 at its relaxed geometry (GGA-PBE).

The value obtained for the energy relative to the elements, uncorrected is -1.40 eV per atom.

Cell: 4.2852 14.1895 10.7602 Å, 90.00 90.00 90.00°
Space group Cmcm (No. 63)
Unique sites:
1 Pm 0.0000 0.2489 0.2500 [4 per cell]
2 Er 0.0000 0.0000 0.0000 [4 per cell]
3 Te 0.0000 0.0903 0.7500 [4 per cell]
4 Te 0.0000 0.3533 0.5627 [8 per cell]

***

Entry 2:
Entry from Alexandria via LeMat-Bulk: crystalline PmEr4Te5 at its relaxed geometry (GGA-PBE).

The value obtained for the energy relative to the elements, uncorrected is -1.25 eV per atom.

Cell: 4.3140 4.3140 31.2999 Å, 90.00 90.00 90.00°
Space group I4/mmm (No. 139)
Unique sites:
1 Pm 0.0000 0.0000 0.0000 [2 per cell]
2 Er 0.0000 0.0000 0.2096 [4 per cell]
3 Er 0.0000 0.0000 0.4061 [4 per cell]
4 Te 0.0000 0.0000 0.1051 [4 per cell]
5 Te 0.0000 0.0000 0.3064 [4 per cell]
6 Te 0.0000 0.0000 0.5000 [2 per cell]

***

Entry 3:
Entry from Alexandria via LeMat-Bulk: crystalline Pm3Er4Te8 at its relaxed geometry (GGA-PBE).

The value obtained for the energy relative to the elements, uncorrected is -1.36 eV per atom.

Cell: 12.3694 12.3787 8.7430 Å, 90.00 134.90 90.00°
Space group C2/m (No. 12)
Unique sites:
1 Pm 0.0000 0.0000 0.0000 [2 per cell]
2 Pm 0.2500 0.2500 0.0000 [4 per cell]
3 Er 0.0000 0.5000 0.0000 [2 per cell]
4 Er 0.0000 0.5000 0.5000 [2 per cell]
5 Er 0.2500 0.2500 0.5000 [4 per cell]
6 Te 0.0000 0.2477 0.5000 [4 per cell]
7 Te 0.0000 0.2540 0.0000 [4 per cell]
8 Te 0.2480 0.5000 0.0041 [4 per cell]
9 Te 0.2486 0.5000 0.4921 [4 per cell]